1.
Density functional theory data (GGA-PBEsol) for a relaxed La2TlPb crystal.

Output
- magnetization (μB per formula unit) = 0.0
- formation energy (eV per atom) = -0.56
- Fermi-level density of states (states/eV/cell) = 3.4

a = 5.1010 Å, b = 5.1010 Å, c = 4.5533 Å
α = 90.00°, β = 90.00°, γ = 90.00°
Closest atoms and distances in Å follow each position.
Space group P4/mmm (No. 123)
Asymmetric unit:
La 0.0000 0.5000 0.0000 x2  4 Pb 3.42, 4 Tl 3.42, 4 La 3.61
Tl 0.0000 0.0000 0.5000 x1  8 La 3.42, 4 Pb 3.61
Pb 0.5000 0.5000 0.5000 x1  8 La 3.42, 4 Tl 3.61

***

2.
Density functional theory data (GGA-PBEsol) for a relaxed LaTlPb3 crystal.

Output
- magnetization (μB per formula unit) = 0.0
- formation energy (eV per atom) = 0.36
- Fermi-level density of states (states/eV/cell) = 3.7

a = 5.6523 Å, b = 5.6523 Å, c = 5.6523 Å
α = 90.00°, β = 90.00°, γ = 90.00°
Closest atoms and distances in Å follow each position.
Space group Pm-3m (No. 221)
Asymmetric unit:
La 0.0000 0.0000 0.0000 x1  12 Pb 4.00
Tl 0.5000 0.5000 0.5000 x1  6 Pb 2.83
Pb 0.0000 0.5000 0.5000 x3  2 Tl 2.83

***

3.
Density functional theory data (GGA-PBEsol) for a relaxed LaTl2Pb2 crystal.

Output
- magnetization (μB per formula unit) = 0.0
- formation energy (eV per atom) = -0.07
- Fermi-level density of states (states/eV/cell) = 10.7

a = 4.5757 Å, b = 4.5757 Å, c = 14.8743 Å
α = 90.00°, β = 90.00°, γ = 90.00°
Closest atoms and distances in Å follow each position.
Space group I4/mmm (No. 139)
Asymmetric unit:
La 0.0000 0.0000 0.0000 x2  8 Tl 3.55
Tl 0.0000 0.0000 0.4023 x4  1 Tl 2.91, 4 Pb 3.22
Pb 0.0000 0.5000 0.2500 x4  4 Tl 3.22, 4 Pb 3.24

***

4.
Density functional theory data (GGA-PBEsol) for a relaxed LaPbW2 crystal.

Output
- magnetization (μB per formula unit) = 0.0
- formation energy (eV per atom) = 1.05
- Fermi-level density of states (states/eV/cell) = 8.5

a = 3.3580 Å, b = 4.9626 Å, c = 9.8199 Å
α = 90.00°, β = 90.00°, γ = 90.00°
Closest atoms and distances in Å follow each position.
Space group Cmmm (No. 65)
Asymmetric unit:
La 0.0000 0.0000 0.0000 x2  4 La 3.00, 4 W 3.08
Pb 0.0000 0.0000 0.5000 x2  4 W 2.87, 4 Pb 3.00
W 0.0000 0.5000 0.2631 x4  2 Pb 2.87, 4 W 3.00, 2 La 3.08